Entry 1:
Below is GeP2Se after structural relaxation, with properties calculated at the PBEsol level.

Unit cell a=4.524 b=4.524 c=4.524 alpha=60.00 beta=60.00 gamma=60.00
Atoms (fractional coordinates):
Ge  0.000  0.000  0.000
P  0.250  0.250  0.250
P  0.750  0.750  0.750
Se  0.500  0.500  0.500

**SG**: Fm-3m (225)

=====

Entry 2:
Below is Sn3GeP after structural relaxation, with properties calculated at the PBEsol level.

Unit cell a=5.096 b=5.096 c=5.096 alpha=90.00 beta=90.00 gamma=90.00
Atoms (fractional coordinates):
Sn  0.000  0.000  0.500
Sn  0.000  0.500  0.000
Sn  0.500  0.000  0.000
Ge  0.500  0.500  0.500
P  0.000  0.000  0.000

**SG**: Pm-3m (221)
**E_form**: 51.2 kJ/mol of atoms

=====

Entry 3:
Below is Sr3Ge2P4 after structural relaxation, with properties calculated at the PBEsol level.

Unit cell a=7.403 b=17.980 c=7.216 alpha=90.00 beta=111.96 gamma=90.00
Atoms (fractional coordinates):
Sr  0.216  0.184  0.011
Sr  0.216  0.316  0.511
Sr  0.257  0.064  0.512
Sr  0.257  0.436  0.012
Sr  0.261  0.558  0.505
Sr  0.261  0.942  0.005
Sr  0.739  0.058  0.995
Sr  0.739  0.442  0.495
Sr  0.743  0.564  0.988
Sr  0.743  0.936  0.488
Sr  0.784  0.684  0.489
Sr  0.784  0.816  0.989
Ge  0.211  0.627  0.026
Ge  0.211  0.873  0.526
Ge  0.314  0.742  0.908
Ge  0.314  0.758  0.408
Ge  0.686  0.242  0.592
Ge  0.686  0.258  0.092
Ge  0.789  0.127  0.474
Ge  0.789  0.373  0.974
P  0.009  0.559  0.756
P  0.009  0.941  0.256
P  0.045  0.685  0.218
P  0.045  0.815  0.718
P  0.492  0.568  0.239
P  0.492  0.932  0.739
P  0.498  0.700  0.718
P  0.498  0.800  0.218
P  0.502  0.200  0.782
P  0.502  0.300  0.282
P  0.508  0.068  0.261
P  0.508  0.432  0.761
P  0.955  0.185  0.282
P  0.955  0.315  0.782
P  0.991  0.059  0.744
P  0.991  0.441  0.244

**SG**: P2_1/c (14)
**E_form**: -77.3 kJ/mol of atoms

=====

Entry 4:
Below is Ta2GeP2 after structural relaxation, with properties calculated at the PBEsol level.

Unit cell a=7.012 b=7.012 c=7.012 alpha=151.68 beta=151.68 gamma=40.49
Atoms (fractional coordinates):
Ta  0.110  0.110  0.000
Ta  0.890  0.890  0.000
Ge  0.500  0.500  0.000
P  0.250  0.750  0.500
P  0.750  0.250  0.500

**SG**: I4/mmm (139)
**E_form**: -34.0 kJ/mol of atoms

=====

Entry 5:
Below is GeTeP3 after structural relaxation, with properties calculated at the PBEsol level.

Unit cell a=4.659 b=4.659 c=4.659 alpha=90.00 beta=90.00 gamma=90.00
Atoms (fractional coordinates):
Ge  0.000  0.000  0.000
Te  0.500  0.500  0.500
P  0.000  0.000  0.500
P  0.000  0.500  0.000
P  0.500  0.000  0.000

**SG**: Pm-3m (221)

=====

Entry 6:
Below is TlGeP3 after structural relaxation, with properties calculated at the PBEsol level.

Unit cell a=4.754 b=4.754 c=4.754 alpha=90.00 beta=90.00 gamma=90.00
Atoms (fractional coordinates):
Tl  0.000  0.000  0.000
Ge  0.500  0.500  0.500
P  0.000  0.500  0.500
P  0.500  0.000  0.500
P  0.500  0.500  0.000

**SG**: Pm-3m (221)
**E_form**: 74.8 kJ/mol of atoms

=====

Entry 7:
Below is GeP3W after structural relaxation, with properties calculated at the PBEsol level.

Unit cell a=4.668 b=4.668 c=4.668 alpha=90.00 beta=90.00 gamma=90.00
Atoms (fractional coordinates):
Ge  0.000  0.000  0.000
P  0.000  0.500  0.500
P  0.500  0.000  0.500
P  0.500  0.500  0.000
W  0.500  0.500  0.500

**SG**: Pm-3m (221)
**E_form**: 64.1 kJ/mol of atoms

=====

Entry 8:
Below is YGeP2 after structural relaxation, with properties calculated at the PBEsol level.

Unit cell a=5.975 b=5.975 c=5.975 alpha=111.22 beta=111.22 gamma=106.02
Atoms (fractional coordinates):
Y  0.000  0.000  0.000
Y  0.750  0.250  0.500
Ge  0.250  0.750  0.500
Ge  0.500  0.500  0.000
P  0.175  0.125  0.550
P  0.375  0.825  0.950
P  0.575  0.625  0.450
P  0.875  0.425  0.050

**SG**: I-42d (122)
**E_form**: -43.0 kJ/mol of atoms

=====

Summary of final energy in Ry per atom
-0.335; -0.307; -0.374; -0.638; -0.317; -0.310; -0.482; -0.462
(order as listed above)
Summary of total moment in μB/cell
0.00; 0.00; 0.00; 0.00; 0.00; 0.00; 0.00; 0.00
(order as listed above)